Entry 1:
DFT (GGA-PBE) results for a relaxed SrIn2SiN4 crystal.

The value obtained for the uncorrected formation energy is -471 meV/atom. The total energy is -6.206 eV/atom.

Cell lengths 5.435, 5.435, 7.838 Å; angles 90.00, 90.00, 90.00 degrees
Space group I-42m (No. 121)
Asymmetric unit:
Sr1 0.000 0.000 0.000 [2 per cell]
In1 0.000 0.500 0.250 [4 per cell]
Si1 0.000 0.000 0.500 [2 per cell]
N1 0.193 0.193 0.623 [8 per cell]



Entry 2:
DFT (GGA-PBE) results for a relaxed InSi2TcN crystal.

The value obtained for the uncorrected formation energy is 1076 meV/atom. The total energy is -5.379 eV/atom.

Cell lengths 4.584, 4.584, 5.297 Å; angles 90.00, 90.00, 90.00 degrees
Space group P4/mmm (No. 123)
Asymmetric unit:
In1 0.000 0.000 0.000 [1 per cell]
Si1 0.000 0.500 0.500 [2 per cell]
Tc1 0.000 0.000 0.500 [1 per cell]
N1 0.500 0.500 0.000 [1 per cell]



Entry 3:
DFT (GGA-PBE) results for a relaxed In2SiTeN crystal.

The value obtained for the uncorrected formation energy is 1259 meV/atom. The total energy is -3.214 eV/atom.

Cell lengths 5.393, 5.393, 5.283 Å; angles 90.00, 90.00, 90.00 degrees
Space group P4/mmm (No. 123)
Asymmetric unit:
In1 0.000 0.500 0.000 [2 per cell]
Si1 0.000 0.000 0.000 [1 per cell]
Te1 0.000 0.000 0.500 [1 per cell]
N1 0.500 0.500 0.500 [1 per cell]



Entry 4:
DFT (GGA-PBE) results for a relaxed Tl2InSiN crystal.

The value obtained for the uncorrected formation energy is 1300 meV/atom. The total energy is -2.944 eV/atom.

Cell lengths 5.391, 5.391, 5.334 Å; angles 90.00, 90.00, 90.00 degrees
Space group P4/mmm (No. 123)
Asymmetric unit:
Tl1 0.000 0.500 0.000 [2 per cell]
In1 0.000 0.000 0.500 [1 per cell]
Si1 0.000 0.000 0.000 [1 per cell]
N1 0.500 0.500 0.500 [1 per cell]



Entry 5:
DFT (GGA-PBE) results for a relaxed VInSiN2 crystal.

The value obtained for the uncorrected formation energy is 496 meV/atom. The total energy is -6.291 eV/atom.

Cell lengths 3.819, 3.819, 5.186 Å; angles 90.00, 90.00, 90.00 degrees
Space group P4/mmm (No. 123)
Asymmetric unit:
V1 0.000 0.000 0.000 [1 per cell]
In1 0.500 0.500 0.500 [1 per cell]
Si1 0.000 0.000 0.500 [1 per cell]
N1 0.000 0.500 0.000 [2 per cell]



Entry 6:
DFT (GGA-PBE) results for a relaxed Sm9In3N2 crystal.

The value obtained for the uncorrected formation energy is -708 meV/atom. The total energy is -5.518 eV/atom.

Cell lengths 7.0332, 7.0332, 8.6142 Å; angles 90.00, 90.00, 120.00 degrees
Space group P-3m1 (No. 164)
Asymmetric unit:
Sm1 0.0000 0.5000 0.0000 [3 per cell]
Sm2 0.1704 0.3407 0.6716 [6 per cell]
In1 0.0000 0.0000 0.0000 [1 per cell]
In2 0.3333 0.6667 0.3336 [2 per cell]
N1 0.3333 0.6667 0.8317 [2 per cell]